# MnPtF2

Crystalline MnPtF2 at its relaxed geometry (GGA+U, Alexandria).

abc: 9.7436 9.7436 9.7436
angles: 16.54 16.54 16.54
Positions (direct):
Mn: 0.0000 0.0000 0.0000
Pt: 0.5000 0.5000 0.5000
F: 0.3735 0.3735 0.3735
F: 0.6265 0.6265 0.6265

Computed properties:
SG: R-3m, No. 166
Fermi-level density of states: 2.7 states/eV/cell
Energy above the lowest structure with this stoichiometry: 183 meV per atom